Entry from the Alexandria database: CaAc5Nd after structural relaxation (PBE).

Geometry as CIF:
```
data_CaAc5Nd
_chemical_formula_sum 'Ca1 Ac5 Nd1'
_symmetry_space_group_name_H-M 'P 1'
_symmetry_Int_Tables_number 1
_symmetry_space_group_name_Hall 'P 1'
_cell_length_a 5.899
_cell_length_b 5.899
_cell_length_c 9.219
_cell_angle_alpha 90.00
_cell_angle_beta 90.00
_cell_angle_gamma 90.00
loop_
_atom_site_label
_atom_site_fract_x
_atom_site_fract_y
_atom_site_fract_z
_atom_site_occupancy
Ca1 0.000 0.000 0.000 1
Ac1 0.500 0.500 0.000 1
Ac2 0.500 0.000 0.284 1
Ac3 0.000 0.500 0.284 1
Ac4 0.500 0.000 0.716 1
Ac5 0.000 0.500 0.716 1
Nd1 0.000 0.000 0.500 1
```

Calculated values
Calculated density (Mg/m³): 6.8
Size of the total moment (μB/cell): 0.000
E_form (eV per atom): 0.23

***

Entry from the Alexandria database: HgTePI2 after structural relaxation (PBE).

Geometry as CIF:
```
data_HgTePI2
_chemical_formula_sum 'Hg1 Te1 P1 I2'
_symmetry_space_group_name_H-M 'P 1'
_symmetry_Int_Tables_number 1
_symmetry_space_group_name_Hall 'P 1'
_cell_length_a 5.853
_cell_length_b 5.853
_cell_length_c 5.873
_cell_angle_alpha 90.00
_cell_angle_beta 90.00
_cell_angle_gamma 90.00
loop_
_atom_site_label
_atom_site_fract_x
_atom_site_fract_y
_atom_site_fract_z
_atom_site_occupancy
I1 0.000 0.500 0.000 1
I2 0.500 0.000 0.000 1
P1 0.500 0.500 0.500 1
Te1 0.000 0.000 0.500 1
Hg1 0.000 0.000 0.000 1
```

Calculated values
Energy relative to the elements, uncorrected (kJ/mol of atoms): 83
Calculated density (Mg/m³): 5.1
Size of the total moment (μB/cell): 1.137
Relative energy among the computed polymorphs (eV per atom): 0.5767

***

Entry from the Alexandria database: ReAuF3 after structural relaxation (PBE).

Geometry as CIF:
```
data_ReAuF3
_chemical_formula_sum 'Re1 Au1 F3'
_symmetry_space_group_name_H-M 'P 1'
_symmetry_Int_Tables_number 1
_symmetry_space_group_name_Hall 'P 1'
_cell_length_a 4.483
_cell_length_b 4.483
_cell_length_c 4.483
_cell_angle_alpha 90.00
_cell_angle_beta 90.00
_cell_angle_gamma 90.00
loop_
_atom_site_label
_atom_site_fract_x
_atom_site_fract_y
_atom_site_fract_z
_atom_site_occupancy
Re1 0.500 0.500 0.500 1
Au1 0.000 0.000 0.000 1
F1 0.000 0.500 0.000 1
F2 0.000 0.000 0.500 1
F3 0.500 0.000 0.000 1
```

Calculated values
Energy relative to the elements, uncorrected (kJ/mol of atoms): 29
Calculated density (Mg/m³): 8.1
Size of the total moment (μB/cell): 5.921
Relative energy among the computed polymorphs (eV per atom): 0.7740

***

Entry from the Alexandria database: ZrBeSb2 after structural relaxation (PBE).

Geometry as CIF:
```
data_ZrBeSb2
_chemical_formula_sum 'Zr1 Be1 Sb2'
_symmetry_space_group_name_H-M 'P 1'
_symmetry_Int_Tables_number 1
_symmetry_space_group_name_Hall 'P 1'
_cell_length_a 4.010
_cell_length_b 3.719
_cell_length_c 6.116
_cell_angle_alpha 72.32
_cell_angle_beta 90.00
_cell_angle_gamma 90.00
loop_
_atom_site_label
_atom_site_fract_x
_atom_site_fract_y
_atom_site_fract_z
_atom_site_occupancy
Sb1 0.000 0.838 0.948 1
Sb2 0.500 0.156 0.312 1
Zr1 0.000 0.553 0.519 1
Be1 0.500 0.954 0.721 1
```

Calculated values
Energy relative to the elements, uncorrected (kJ/mol of atoms): -19
Calculated density (Mg/m³): 6.6
Size of the total moment (μB/cell): 0.000